Record 1
Below is an optimized crystal structure of CdTeNO, with properties calculated at the PBE level.

Lattice parameters (Å, degrees): 6.466 6.711 6.168 90.00 90.00 90.00
Sites, in units of the cell vectors:
Cd: 0.183 0.156 0.000
Cd: 0.317 0.156 0.500
Cd: 0.683 0.844 0.000
Cd: 0.817 0.844 0.500
Te: 0.206 0.696 0.169
Te: 0.294 0.696 0.669
Te: 0.706 0.304 0.169
Te: 0.794 0.304 0.669
N: 0.028 0.110 0.684
N: 0.472 0.110 0.184
N: 0.528 0.890 0.684
N: 0.972 0.890 0.184
O: 0.076 0.440 0.182
O: 0.424 0.440 0.682
O: 0.576 0.560 0.182
O: 0.924 0.560 0.682

## Properties
Its total energy is -69.2 eV per cell. Its relative energy among the computed polymorphs is 0 kJ/mol of formula units.

Record 2
Below is an optimized crystal structure of CoCuAsW, with properties calculated at the PBE level.

Lattice parameters (Å, degrees): 4.260 4.260 4.260 60.00 60.00 60.00
Sites, in units of the cell vectors:
Co: 0.000 0.000 0.000
Cu: 0.500 0.500 0.500
As: 0.750 0.750 0.750
W: 0.250 0.250 0.250

## Properties
Its total energy is -26.1 eV per cell. Its relative energy among the computed polymorphs is 93 kJ/mol of formula units. The calculation puts the magnetization at 0.4 μB/f.u.

Record 3
Below is an optimized crystal structure of ScPaW, with properties calculated at the PBE level.

Lattice parameters (Å, degrees): 4.655 4.655 4.655 60.00 60.00 60.00
Sites, in units of the cell vectors:
Sc: 0.000 0.000 0.000
Pa: 0.250 0.250 0.250
W: 0.500 0.500 0.500

## Properties
Its total energy is -25.1 eV per cell. Its relative energy among the computed polymorphs is 42 kJ/mol of formula units. The calculation puts the magnetization at 0.2 μB/f.u.

Record 4
Below is an optimized crystal structure of TcBIr, with properties calculated at the PBE level.

Lattice parameters (Å, degrees): 3.771 3.771 3.771 60.00 60.00 60.00
Sites, in units of the cell vectors:
Tc: 0.000 0.000 0.000
B: 0.750 0.750 0.750
Ir: 0.500 0.500 0.500

## Properties
Its total energy is -25.5 eV per cell. Its relative energy among the computed polymorphs is 0 kJ/mol of formula units. The calculation puts the magnetization at 0.0 μB/f.u.

Record 5
Below is an optimized crystal structure of Bi2Os2O7, with properties calculated at the PBE level.

Lattice parameters (Å, degrees): 7.321 7.321 7.321 60.00 60.00 60.00
Sites, in units of the cell vectors:
Bi: 0.000 0.000 0.000
Bi: 0.000 0.000 0.500
Bi: 0.000 0.500 0.000
Bi: 0.500 0.000 0.000
Os: 0.000 0.500 0.500
Os: 0.500 0.000 0.500
Os: 0.500 0.500 0.000
Os: 0.500 0.500 0.500
O: 0.125 0.125 0.125
O: 0.172 0.172 0.578
O: 0.172 0.578 0.172
O: 0.172 0.578 0.578
O: 0.422 0.422 0.828
O: 0.422 0.828 0.422
O: 0.422 0.828 0.828
O: 0.578 0.172 0.172
O: 0.578 0.172 0.578
O: 0.578 0.578 0.172
O: 0.828 0.422 0.422
O: 0.828 0.422 0.828
O: 0.828 0.828 0.422
O: 0.875 0.875 0.875

## Properties
Its total energy is -153.1 eV per cell. The calculation puts the magnetization at 0.0 μB/f.u.

Record 6
Below is an optimized crystal structure of Cs2PdPtCl6, with properties calculated at the PBE level.

Lattice parameters (Å, degrees): 7.456 7.456 6.432 102.86 102.86 55.82
Sites, in units of the cell vectors:
Cs: 0.210 0.210 0.222
Cs: 0.790 0.790 0.778
Pd: 0.000 0.000 0.500
Pt: 0.500 0.500 0.000
Cl: 0.190 0.704 0.228
Cl: 0.296 0.810 0.772
Cl: 0.328 0.328 0.783
Cl: 0.672 0.672 0.217
Cl: 0.704 0.190 0.228
Cl: 0.810 0.296 0.772

## Properties
Its total energy is -34.1 eV per cell. The calculation puts the magnetization at 0.1 μB/f.u.

Record 7
Below is an optimized crystal structure of Dy2Ho2CI2Br3, with properties calculated at the PBE level.

Lattice parameters (Å, degrees): 9.466 9.466 8.218 101.71 101.71 23.55
Sites, in units of the cell vectors:
Dy: 0.001 0.001 0.301
Dy: 0.999 0.999 0.699
Ho: 0.369 0.369 0.437
Ho: 0.631 0.631 0.563
C: 0.500 0.500 0.500
I: 0.166 0.166 0.850
I: 0.834 0.834 0.150
Br: 0.165 0.165 0.331
Br: 0.500 0.500 0.000
Br: 0.835 0.835 0.669

## Properties
Its total energy is -48.5 eV per cell. Its relative energy among the computed polymorphs is 11 kJ/mol of formula units. The calculation puts the magnetization at 0.1 μB/f.u.

Record 8
Below is an optimized crystal structure of TaTe2, with properties calculated at the PBE level.

Lattice parameters (Å, degrees): 3.696 3.696 28.056 90.00 90.00 120.00
Sites, in units of the cell vectors:
Ta: 0.000 0.000 0.000
Ta: 0.000 0.000 0.250
Ta: 0.000 0.000 0.750
Ta: 0.667 0.333 0.500
Te: 0.000 0.000 0.435
Te: 0.000 0.000 0.565
Te: 0.333 0.667 0.185
Te: 0.333 0.667 0.315
Te: 0.333 0.667 0.685
Te: 0.333 0.667 0.815
Te: 0.667 0.333 0.065
Te: 0.667 0.333 0.935

## Properties
Its total energy is -76.5 eV per cell. The calculation puts the magnetization at 0.1 μB/f.u.

Record 9
Below is an optimized crystal structure of MgNbAsO, with properties calculated at the PBE level.

Lattice parameters (Å, degrees): 3.413 6.694 5.794 90.00 90.00 90.00
Sites, in units of the cell vectors:
Mg: 0.000 0.127 0.000
Mg: 0.000 0.873 0.500
Nb: 0.500 0.498 0.714
Nb: 0.500 0.502 0.214
As: 0.000 0.268 0.465
As: 0.000 0.732 0.965
O: 0.500 0.260 0.963
O: 0.500 0.740 0.463

## Properties
Its total energy is -52.7 eV per cell. Its relative energy among the computed polymorphs is 0 kJ/mol of formula units. The calculation puts the magnetization at 0.0 μB/f.u.

Record 10
Below is an optimized crystal structure of PuInIr, with properties calculated at the PBE level.

Lattice parameters (Å, degrees): 7.155 4.172 8.703 90.00 90.00 90.00
Sites, in units of the cell vectors:
Pu: 0.038 0.250 0.177
Pu: 0.462 0.750 0.677
Pu: 0.538 0.250 0.323
Pu: 0.962 0.750 0.823
In: 0.141 0.250 0.559
In: 0.359 0.750 0.059
In: 0.641 0.250 0.941
In: 0.859 0.750 0.441
Ir: 0.245 0.250 0.864
Ir: 0.255 0.750 0.364
Ir: 0.745 0.250 0.636
Ir: 0.755 0.750 0.136

## Properties
Its total energy is -108.9 eV per cell. The calculation puts the magnetization at 5.1 μB/f.u.

Record 11
Below is an optimized crystal structure of ScBAu, with properties calculated at the PBE level.

Lattice parameters (Å, degrees): 4.203 4.203 4.203 60.00 60.00 60.00
Sites, in units of the cell vectors:
Sc: 0.000 0.000 0.000
B: 0.500 0.500 0.500
Au: 0.750 0.750 0.750

## Properties
Its total energy is -15.5 eV per cell. Its relative energy among the computed polymorphs is 0 kJ/mol of formula units. The calculation puts the magnetization at 0.0 μB/f.u.

Record 12
Below is an optimized crystal structure of PrH3, with properties calculated at the PBE level.

Lattice parameters (Å, degrees): 6.680 6.680 6.904 90.00 90.00 120.00
Sites, in units of the cell vectors:
Pr: 0.000 0.336 0.250
Pr: 0.000 0.664 0.750
Pr: 0.336 0.000 0.250
Pr: 0.336 0.336 0.750
Pr: 0.664 0.000 0.750
Pr: 0.664 0.664 0.250
H: 0.000 0.000 0.250
H: 0.000 0.000 0.750
H: 0.025 0.347 0.906
H: 0.025 0.679 0.406
H: 0.321 0.347 0.406
H: 0.321 0.975 0.906
H: 0.333 0.667 0.173
H: 0.333 0.667 0.673
H: 0.347 0.025 0.594
H: 0.347 0.321 0.094
H: 0.653 0.679 0.906
H: 0.653 0.975 0.406
H: 0.667 0.333 0.327
H: 0.667 0.333 0.827
H: 0.679 0.025 0.094
H: 0.679 0.653 0.594
H: 0.975 0.321 0.594
H: 0.975 0.653 0.094

## Properties
Its total energy is -102.4 eV per cell. The calculation puts the magnetization at 0.0 μB/f.u.

Record 13
Below is an optimized crystal structure of TlBiW4C2, with properties calculated at the PBE level.

Lattice parameters (Å, degrees): 3.207 3.207 14.240 90.00 90.00 120.00
Sites, in units of the cell vectors:
Tl: 0.000 0.000 0.000
Bi: 0.667 0.333 0.500
W: 0.000 0.000 0.320
W: 0.000 0.000 0.680
W: 0.667 0.333 0.168
W: 0.667 0.333 0.832
C: 0.333 0.667 0.247
C: 0.333 0.667 0.753

## Properties
Its total energy is -72.7 eV per cell. The calculation puts the magnetization at 0.0 μB/f.u.

Record 14
Below is an optimized crystal structure of CoRe2Ni, with properties calculated at the PBE level.

Lattice parameters (Å, degrees): 4.232 5.291 5.291 120.43 90.00 90.00
Sites, in units of the cell vectors:
Co: 0.250 0.082 0.918
Co: 0.750 0.918 0.082
Re: 0.250 0.576 0.403
Re: 0.250 0.588 0.914
Re: 0.750 0.403 0.576
Re: 0.750 0.914 0.588
Ni: 0.250 0.069 0.400
Ni: 0.750 0.400 0.069

## Properties
Its total energy is -75.1 eV per cell. Its relative energy among the computed polymorphs is 12 kJ/mol of formula units. The calculation puts the magnetization at 1.2 μB/f.u.

Record 15
Below is an optimized crystal structure of RbGdFeTe3, with properties calculated at the PBE level.

Lattice parameters (Å, degrees): 9.191 9.191 9.568 92.40 92.40 30.21
Sites, in units of the cell vectors:
Rb: 0.145 0.145 0.086
Rb: 0.855 0.855 0.914
Gd: 0.162 0.162 0.586
Gd: 0.838 0.838 0.414
Fe: 0.495 0.495 0.622
Fe: 0.505 0.505 0.378
Te: 0.000 0.000 0.500
Te: 0.333 0.333 0.634
Te: 0.373 0.373 0.212
Te: 0.500 0.500 0.000
Te: 0.627 0.627 0.788
Te: 0.667 0.667 0.366

## Properties
Its total energy is -55.0 eV per cell. Its relative energy among the computed polymorphs is 111 kJ/mol of formula units. The calculation puts the magnetization at 3.0 μB/f.u.

Record 16
Below is an optimized crystal structure of KTcAgSe3, with properties calculated at the PBE level.

Lattice parameters (Å, degrees): 14.397 3.766 10.533 90.00 90.00 90.00
Sites, in units of the cell vectors:
K: 0.135 0.250 0.012
K: 0.365 0.750 0.512
K: 0.635 0.250 0.488
K: 0.865 0.750 0.988
Tc: 0.031 0.750 0.596
Tc: 0.469 0.250 0.096
Tc: 0.531 0.750 0.904
Tc: 0.969 0.250 0.404
Ag: 0.206 0.750 0.258
Ag: 0.294 0.250 0.758
Ag: 0.706 0.750 0.242
Ag: 0.794 0.250 0.742
Se: 0.028 0.750 0.243
Se: 0.121 0.250 0.498
Se: 0.169 0.750 0.762
Se: 0.331 0.250 0.262
Se: 0.379 0.750 0.998
Se: 0.472 0.250 0.743
Se: 0.528 0.750 0.257
Se: 0.621 0.250 0.002
Se: 0.669 0.750 0.738
Se: 0.831 0.250 0.238
Se: 0.879 0.750 0.502
Se: 0.972 0.250 0.757

## Properties
Its total energy is -109.7 eV per cell. Its relative energy among the computed polymorphs is 0 kJ/mol of formula units. The calculation puts the magnetization at 0.1 μB/f.u.

Record 17
Below is an optimized crystal structure of GdInIr, with properties calculated at the PBE level.

Lattice parameters (Å, degrees): 7.503 7.503 4.021 90.00 90.00 120.00
Sites, in units of the cell vectors:
Gd: 0.000 0.592 0.000
Gd: 0.408 0.408 0.000
Gd: 0.592 0.000 0.000
In: 0.000 0.255 0.500
In: 0.255 0.000 0.500
In: 0.745 0.745 0.500
Ir: 0.000 0.000 0.000
Ir: 0.333 0.667 0.500
Ir: 0.667 0.333 0.500

## Properties
Its total energy is -55.0 eV per cell. Its relative energy among the computed polymorphs is 0 kJ/mol of formula units. The calculation puts the magnetization at 0.0 μB/f.u.

Record 18
Below is an optimized crystal structure of GdHo2, with properties calculated at the PBE level.

Lattice parameters (Å, degrees): 9.896 9.896 9.896 60.00 60.00 60.00
Sites, in units of the cell vectors:
Gd: 0.125 0.125 0.125
Gd: 0.875 0.875 0.875
Ho: 0.000 0.000 0.000
Ho: 0.000 0.000 0.500
Ho: 0.000 0.500 0.000
Ho: 0.500 0.000 0.000

## Properties
Its total energy is -12.5 eV per cell. Its relative energy among the computed polymorphs is 649 kJ/mol of formula units. The calculation puts the magnetization at 2.9 μB/f.u.

Record 19
Below is an optimized crystal structure of ThCoRe, with properties calculated at the PBE level.

Lattice parameters (Å, degrees): 4.432 4.432 4.432 60.00 60.00 60.00
Sites, in units of the cell vectors:
Th: 0.000 0.000 0.000
Co: 0.750 0.750 0.750
Re: 0.500 0.500 0.500

## Properties
Its total energy is -25.5 eV per cell. The calculation puts the magnetization at 2.5 μB/f.u.

Record 20
Below is an optimized crystal structure of Tb3Tl2Cd4, with properties calculated at the PBE level.

Lattice parameters (Å, degrees): 7.599 7.599 4.552 90.00 90.00 120.00
Sites, in units of the cell vectors:
Tb: 0.000 0.573 0.000
Tb: 0.427 0.427 0.000
Tb: 0.573 0.000 0.000
Tl: 0.333 0.667 0.500
Tl: 0.667 0.333 0.500
Cd: 0.000 0.000 0.000
Cd: 0.000 0.240 0.500
Cd: 0.240 0.000 0.500
Cd: 0.760 0.760 0.500

## Properties
Its total energy is -25.3 eV per cell. The calculation puts the magnetization at 0.0 μB/f.u.